VASP calculation (PBE-GGA) on a geometry-optimized K2Rb2ZnBi2 structure.

Geometry as extended XYZ:
```
7
Lattice="3.134 1.809 9.817 -3.134 1.809 9.817 0.000 -3.619 9.817" Properties=species:S:1:pos:R:3 pbc="T T T"
K 0.000 0.000 6.174
K 0.000 0.000 23.278
Rb 0.000 0.000 11.214
Rb 0.000 0.000 18.238
Zn 0.000 0.000 0.000
Bi 0.000 0.000 2.596
Bi 0.000 0.000 26.856
```

Output
space group	R-3m, No. 166
total DFT energy (no corrections)	-2.2932	eV/atom



VASP calculation (PBE-GGA) on a geometry-optimized K2Rb2ZnBi2 structure.

Geometry as extended XYZ:
```
7
Lattice="3.112 1.797 10.143 -3.112 1.797 10.143 0.000 -3.593 10.143" Properties=species:S:1:pos:R:3 pbc="T T T"
K 0.000 0.000 3.623
K 0.000 0.000 26.806
Rb 0.000 0.000 8.840
Rb 0.000 0.000 21.589
Zn 0.000 0.000 15.214
Bi 0.000 0.000 12.625
Bi 0.000 0.000 17.803
```

Output
space group	R-3m, No. 166
total DFT energy (no corrections)	-2.2915	eV/atom



VASP calculation (PBE-GGA) on a geometry-optimized KRbZn2Bi2 structure.

Geometry as extended XYZ:
```
6
Lattice="4.741 0.000 0.000 -2.370 4.105 0.000 0.000 0.000 11.008" Properties=species:S:1:pos:R:3 pbc="T T T"
K 0.000 0.000 0.000
Rb 0.000 0.000 5.504
Zn 0.000 2.737 2.706
Zn 2.370 1.368 8.302
Bi 0.000 2.737 8.321
Bi 2.370 1.368 2.687
```

Output
space group	P-3m1, No. 164
offset from the most stable computed form	0.0	meV/atom



VASP calculation (PBE-GGA) on a geometry-optimized K2ReBi structure.

Geometry as extended XYZ:
```
4
Lattice="3.171 0.000 0.000 -1.586 2.746 0.000 0.000 0.000 12.409" Properties=species:S:1:pos:R:3 pbc="T T T"
K 0.000 0.000 3.073
K 0.000 0.000 9.336
Re 0.000 0.000 6.204
Bi 1.586 0.915 0.000
```

Output
space group	P-6m2, No. 187
total DFT energy (no corrections)	-3.4619	eV/atom
spin magnetization	0.0	μB per formula unit



VASP calculation (PBE-GGA) on a geometry-optimized KReBi structure.

Geometry as extended XYZ:
```
3
Lattice="0.000 3.692 3.692 3.692 0.000 3.692 3.692 3.692 0.000" Properties=species:S:1:pos:R:3 pbc="T T T"
K 0.000 0.000 0.000
Re 1.846 1.846 1.846
Bi 5.538 5.538 5.538
```

Output
space group	F-43m, No. 216
offset from the most stable computed form	672.6	meV/atom
spin magnetization	4.0	μB per formula unit



VASP calculation (PBE-GGA) on a geometry-optimized KReBi structure.

Geometry as extended XYZ:
```
3
Lattice="0.000 3.440 3.440 3.440 0.000 3.440 3.440 3.440 0.000" Properties=species:S:1:pos:R:3 pbc="T T T"
K 0.000 0.000 0.000
Re 5.160 5.160 5.160
Bi 3.440 3.440 3.440
```

Output
space group	F-43m, No. 216
offset from the most stable computed form	0.0	meV/atom
spin magnetization	0.9	μB per formula unit



VASP calculation (PBE-GGA) on a geometry-optimized KZnBiS3 structure.

Geometry as extended XYZ:
```
12
Lattice="2.028 -7.124 0.000 2.028 7.124 0.000 0.000 0.000 10.874" Properties=species:S:1:pos:R:3 pbc="T T T"
K 2.028 3.677 8.156
K 2.028 -3.677 2.719
Zn 2.028 6.533 2.719
Zn 2.028 -6.533 8.156
Bi 2.028 0.000 0.000
Bi 2.028 0.000 5.437
S 2.028 5.299 0.748
S 2.028 5.299 4.689
S 2.028 0.840 2.719
S 2.028 -0.840 8.156
S 2.028 -5.299 6.185
S 2.028 -5.299 10.126
```

Output
space group	Cmcm, No. 63
total DFT energy (no corrections)	-3.8908	eV/atom



VASP calculation (PBE-GGA) on a geometry-optimized KSmBiSe3 structure.

Geometry as extended XYZ:
```
12
Lattice="2.157 -8.016 0.000 2.157 8.016 0.000 0.000 0.000 11.472" Properties=species:S:1:pos:R:3 pbc="T T T"
K 2.157 4.025 8.604
K 2.157 -4.025 2.868
Sm 0.000 0.000 0.000
Sm 0.000 0.000 5.736
Bi 2.157 0.670 2.868
Bi 2.157 -0.670 8.604
Se 2.157 6.552 2.868
Se 2.157 2.022 0.377
Se 2.157 2.022 5.359
Se 2.157 -2.022 6.113
Se 2.157 -2.022 11.095
Se 2.157 -6.552 8.604
```

Output
space group	Cmcm, No. 63
total DFT energy (no corrections)	-4.3641	eV/atom
spin magnetization	0.0	μB per formula unit



VASP calculation (PBE-GGA) on a geometry-optimized KTaBi structure.

Geometry as extended XYZ:
```
3
Lattice="0.000 3.682 3.682 3.682 0.000 3.682 3.682 3.682 0.000" Properties=species:S:1:pos:R:3 pbc="T T T"
K 0.000 0.000 0.000
Ta 3.682 3.682 3.682
Bi 1.841 1.841 1.841
```

Output
space group	F-43m, No. 216
total DFT energy (no corrections)	-4.5381	eV/atom
spin magnetization	3.0	μB per formula unit



VASP calculation (PBE-GGA) on a geometry-optimized KTaBi structure.

Geometry as extended XYZ:
```
3
Lattice="0.000 3.699 3.699 3.699 0.000 3.699 3.699 3.699 0.000" Properties=species:S:1:pos:R:3 pbc="T T T"
K 0.000 0.000 0.000
Ta 1.849 1.849 1.849
Bi 5.548 5.548 5.548
```

Output
space group	F-43m, No. 216
total DFT energy (no corrections)	-3.8112	eV/atom
spin magnetization	3.0	μB per formula unit



VASP calculation (PBE-GGA) on a geometry-optimized KTbBiTe3 structure.

Geometry as extended XYZ:
```
12
Lattice="2.231 -8.471 0.000 2.231 8.471 0.000 0.000 0.000 11.802" Properties=species:S:1:pos:R:3 pbc="T T T"
K 2.231 4.480 8.852
K 2.231 -4.480 2.951
Tb 0.000 0.000 0.000
Tb 0.000 0.000 5.901
Bi 2.231 0.653 2.951
Bi 2.231 -0.653 8.852
Te 2.231 6.848 2.951
Te 2.231 2.202 0.347
Te 2.231 2.202 5.554
Te 2.231 -2.202 6.248
Te 2.231 -2.202 11.455
Te 2.231 -6.848 8.852
```

Output
space group	Cmcm, No. 63
total DFT energy (no corrections)	-3.9536	eV/atom
spin magnetization	0.0	μB per formula unit



VASP calculation (PBE-GGA) on a geometry-optimized KTcBi structure.

Geometry as extended XYZ:
```
3
Lattice="0.000 3.728 3.728 3.728 0.000 3.728 3.728 3.728 0.000" Properties=species:S:1:pos:R:3 pbc="T T T"
K 0.000 0.000 0.000
Tc 1.864 1.864 1.864
Bi 5.593 5.593 5.593
```

Output
space group	F-43m, No. 216
offset from the most stable computed form	652.9	meV/atom
spin magnetization	4.1	μB per formula unit



VASP calculation (PBE-GGA) on a geometry-optimized KTcBi structure.

Geometry as extended XYZ:
```
3
Lattice="0.000 3.456 3.456 3.456 0.000 3.456 3.456 3.456 0.000" Properties=species:S:1:pos:R:3 pbc="T T T"
K 0.000 0.000 0.000
Tc 5.184 5.184 5.184
Bi 3.456 3.456 3.456
```

Output
space group	F-43m, No. 216
offset from the most stable computed form	0.0	meV/atom
spin magnetization	0.9	μB per formula unit



VASP calculation (PBE-GGA) on a geometry-optimized KTmBi structure.

Geometry as extended XYZ:
```
3
Lattice="0.000 3.830 3.830 3.830 0.000 3.830 3.830 3.830 0.000" Properties=species:S:1:pos:R:3 pbc="T T T"
K 0.000 0.000 0.000
Tm 5.746 5.746 5.746
Bi 3.830 3.830 3.830
```

Output
space group	F-43m, No. 216
total DFT energy (no corrections)	-3.0741	eV/atom
spin magnetization	0.6	μB per formula unit



VASP calculation (PBE-GGA) on a geometry-optimized KUBi structure.

Geometry as extended XYZ:
```
3
Lattice="0.000 3.941 3.941 3.941 0.000 3.941 3.941 3.941 0.000" Properties=species:S:1:pos:R:3 pbc="T T T"
K 0.000 0.000 0.000
U 3.941 3.941 3.941
Bi 1.970 1.970 1.970
```

Output
space group	F-43m, No. 216
total DFT energy (no corrections)	-4.7740	eV/atom
spin magnetization	4.0	μB per formula unit



VASP calculation (PBE-GGA) on a geometry-optimized KBiW structure.

Geometry as extended XYZ:
```
3
Lattice="0.000 3.657 3.657 3.657 0.000 3.657 3.657 3.657 0.000" Properties=species:S:1:pos:R:3 pbc="T T T"
K 0.000 0.000 0.000
Bi 3.657 3.657 3.657
W 5.485 5.485 5.485
```

Output
space group	F-43m, No. 216
offset from the most stable computed form	0.0	meV/atom
spin magnetization	4.0	μB per formula unit



VASP calculation (PBE-GGA) on a geometry-optimized KBi5W3 structure.

Geometry as extended XYZ:
```
9
Lattice="5.733 0.000 0.000 -2.866 4.965 0.000 0.000 0.000 9.313" Properties=species:S:1:pos:R:3 pbc="T T T"
K 0.000 0.000 0.000
Bi 0.000 0.000 4.657
Bi 0.000 3.310 2.179
Bi 0.000 3.310 7.135
Bi 2.866 1.655 2.179
Bi 2.866 1.655 7.135
W -1.433 2.482 4.657
W 2.866 0.000 4.657
W 1.433 2.482 4.657
```

Output
space group	P6/mmm, No. 191
total DFT energy (no corrections)	-6.3159	eV/atom
spin magnetization	0.0	μB per formula unit



VASP calculation (PBE-GGA) on a geometry-optimized KBiW structure.

Geometry as extended XYZ:
```
3
Lattice="0.000 3.694 3.694 3.694 0.000 3.694 3.694 3.694 0.000" Properties=species:S:1:pos:R:3 pbc="T T T"
K 0.000 0.000 0.000
Bi 5.540 5.540 5.540
W 1.847 1.847 1.847
```

Output
space group	F-43m, No. 216
offset from the most stable computed form	626.0	meV/atom
spin magnetization	4.0	μB per formula unit



VASP calculation (PBE-GGA) on a geometry-optimized K4ZnBi2 structure.

Geometry as extended XYZ:
```
14
Lattice="3.124 -5.317 0.000 3.124 5.317 0.000 0.000 0.000 17.594" Properties=species:S:1:pos:R:3 pbc="T T T"
K 3.124 5.286 13.195
K 0.402 0.000 0.000
K 2.752 1.762 6.950
K 3.495 1.762 1.847
K 2.752 -1.762 10.644
K 3.495 -1.762 15.747
K 5.845 0.000 8.797
K 3.124 -5.286 4.398
Zn 3.124 1.738 13.195
Zn 3.124 -1.738 4.398
Bi 2.711 1.809 10.641
Bi 3.537 1.809 15.750
Bi 2.711 -1.809 6.953
Bi 3.537 -1.809 1.844
```

Output
space group	C222_1, No. 20
total DFT energy (no corrections)	-2.3345	eV/atom



VASP calculation (PBE-GGA) on a geometry-optimized KZrBi structure.

Geometry as extended XYZ:
```
3
Lattice="0.000 3.764 3.764 3.764 0.000 3.764 3.764 3.764 0.000" Properties=species:S:1:pos:R:3 pbc="T T T"
K 0.000 0.000 0.000
Zr 3.764 3.764 3.764
Bi 1.882 1.882 1.882
```

Output
space group	F-43m, No. 216
total DFT energy (no corrections)	-4.1398	eV/atom
spin magnetization	2.0	μB per formula unit